The following is a DFT calculation (PBE) of a relaxed PuTaCrOs crystal.

a = 6.4874 Å, b = 6.4874 Å, c = 6.4874 Å
α = 90.00°, β = 90.00°, γ = 90.00°
Closest atoms and distances in Å follow each position.
Space group F-43m (No. 216)
Symmetry-distinct sites (fractional):
Pu 0.0000 0.0000 0.0000  4 Cr 2.81, 4 Os 2.81
Ta 0.0000 0.0000 0.5000  4 Cr 2.81, 4 Os 2.81
Cr 0.2500 0.2500 0.7500  4 Ta 2.81, 4 Pu 2.81
Os 0.2500 0.2500 0.2500  4 Ta 2.81, 4 Pu 2.81

Output
Density in g cm⁻³: 16.2
Crystal system: cubic
Formation energy from the elements in kcal/mol of atoms: 2.096

---

The following is a DFT calculation (PBE) of a relaxed Rb2GeOs crystal.

a = 13.2192 Å, b = 13.2192 Å, c = 4.6946 Å
α = 90.00°, β = 90.00°, γ = 90.00°
Closest atoms and distances in Å follow each position.
Space group I-42d (No. 122)
Symmetry-distinct sites (fractional):
Rb 0.0020 0.7500 0.1250  2 Os 3.36, 2 Ge 3.74
Ge 0.0000 0.0000 0.5000  2 Os 2.35
Os 0.0000 0.0000 0.0000  2 Ge 2.35

Output
Density in g cm⁻³: 3.5
Crystal system: tetragonal
Formation energy from the elements in kcal/mol of atoms: 15.969

---

The following is a DFT calculation (PBE) of a relaxed NbVRuW crystal.

a = 6.2707 Å, b = 6.2707 Å, c = 6.2707 Å
α = 90.00°, β = 90.00°, γ = 90.00°
Closest atoms and distances in Å follow each position.
Space group F-43m (No. 216)
Symmetry-distinct sites (fractional):
Nb 0.0000 0.0000 0.0000  4 W 2.72, 4 Ru 2.72
V 0.0000 0.0000 0.5000  4 Ru 2.72, 4 W 2.72
Ru 0.2500 0.2500 0.7500  4 Nb 2.72, 4 V 2.72
W 0.2500 0.2500 0.2500  4 V 2.72, 4 Nb 2.72

Output
Density in g cm⁻³: 11.5
Crystal system: cubic
Formation energy from the elements in kcal/mol of atoms: -3.200

---

The following is a DFT calculation (PBE) of a relaxed Ta2FeMoH crystal.

a = 4.4218 Å, b = 4.4218 Å, c = 3.3065 Å
α = 90.00°, β = 90.00°, γ = 90.00°
Closest atoms and distances in Å follow each position.
Space group P4/mmm (No. 123)
Symmetry-distinct sites (fractional):
Ta 0.0000 0.5000 0.0000  2 H 2.21
Fe 0.0000 0.0000 0.5000  2 H 1.65
Mo 0.5000 0.5000 0.5000  8 Ta 2.76
H 0.0000 0.0000 0.0000  2 Fe 1.65

Output
Density in g cm⁻³: 13.2
Crystal system: tetragonal
Final energy in eV/atom: -9.403

---

The following is a DFT calculation (PBE) of a relaxed Li3U3RhN8 crystal.

a = 6.7354 Å, b = 6.7354 Å, c = 14.9472 Å
α = 90.00°, β = 90.00°, γ = 120.00°
Closest atoms and distances in Å follow each position.
Space group R-3m (No. 166, hexagonal axes)
Symmetry-distinct sites (fractional):
Li 0.0000 0.5000 0.0000  6 N 2.41-2.46
U 0.0000 0.5000 0.5000  6 N 2.18-2.22
Rh 0.0000 0.0000 0.5000  6 N 2.22
N 0.0000 0.0000 0.2384  3 U 2.22, 3 Li 2.41
N 0.0051 0.5025 0.7659  2 U 2.18, 1 Rh 2.22

Output
Raw formation energy in kJ/mol of atoms: -75.3
Density in g cm⁻³: 8.1
Crystal system: trigonal

---

The following is a DFT calculation (PBE) of a relaxed CsGeS2 crystal.

a = 5.5727 Å, b = 5.5727 Å, c = 23.3635 Å
α = 90.00°, β = 90.00°, γ = 120.00°
Closest atoms and distances in Å follow each position.
Space group R-3m (No. 166, hexagonal axes)
Symmetry-distinct sites (fractional):
Cs 0.0000 0.0000 0.0000  6 S 3.64
Ge 0.0000 0.0000 0.5000  2 S 2.19
S 0.0000 0.0000 0.4064  1 Ge 2.19

Output
Raw formation energy in kJ/mol of atoms: -23.6
Density in g cm⁻³: 2.1
Crystal system: trigonal

---

The following is a DFT calculation (PBE) of a relaxed SiHg2Sb crystal.

a = 5.8339 Å, b = 6.0569 Å, c = 10.9195 Å
α = 90.00°, β = 90.00°, γ = 90.00°
Closest atoms and distances in Å follow each position.
Space group Fmmm (No. 69)
Symmetry-distinct sites (fractional):
Si 0.0000 0.0000 0.0000  4 Sb 2.92-3.03, 4 Hg 3.12
Hg 0.0000 0.2500 0.2500  4 Hg 2.92-3.03, 2 Sb 3.12, 2 Si 3.12
Sb 0.0000 0.0000 0.5000  4 Si 2.92-3.03, 4 Hg 3.12

Output
Raw formation energy in kJ/mol of atoms: 30.8
Density in g cm⁻³: 9.5
Crystal system: orthorhombic

---

The following is a DFT calculation (PBE) of a relaxed TeWSe2 crystal.

a = 4.8771 Å, b = 4.8771 Å, c = 3.2522 Å
α = 90.00°, β = 90.00°, γ = 90.00°
Closest atoms and distances in Å follow each position.
Space group P4/mmm (No. 123)
Symmetry-distinct sites (fractional):
Te 0.0000 0.0000 0.0000  8 Se 2.93, 2 Te 3.25
W 0.5000 0.5000 0.0000  8 Se 2.93, 2 W 3.25
Se 0.0000 0.5000 0.5000  4 W 2.93, 4 Te 2.93, 2 Se 3.25

Output
Raw formation energy in kJ/mol of atoms: 81.1
Density in g cm⁻³: 10.1
Crystal system: tetragonal

---

The following is a DFT calculation (PBE) of a relaxed K4Pd3AuO8 crystal.

a = 14.0596 Å, b = 6.1625 Å, c = 6.8779 Å
α = 90.00°, β = 111.90°, γ = 90.00°
Closest atoms and distances in Å follow each position.
Space group C2/m (No. 12)
Symmetry-distinct sites (fractional):
K 0.0000 0.0000 0.0000  6 O 2.75-2.81
K 0.0000 0.5000 0.0000  6 O 2.75-2.79, 2 K 3.08
K 0.2500 0.2500 0.5000  6 O 2.76-2.77, 2 K 3.08
Pd 0.0000 0.0000 0.5000  4 O 2.02
Pd 0.2500 0.2500 0.0000  4 O 2.00-2.01
Au 0.0000 0.5000 0.5000  4 O 2.03
O 0.0375 0.2488 0.3520  1 Pd 2.02, 1 Au 2.03
O 0.2139 0.5000 0.1458  2 Pd 2.00
O 0.2149 0.0000 0.1477  2 Pd 2.01

Output
Raw formation energy in kJ/mol of atoms: -78.1
Density in g cm⁻³: 4.8
Crystal system: monoclinic

---

The following is a DFT calculation (PBE) of a relaxed NaLiTl6 crystal.

a = 4.8849 Å, b = 4.8849 Å, c = 9.4052 Å
α = 90.00°, β = 90.00°, γ = 90.00°
Closest atoms and distances in Å follow each position.
Space group P4/mmm (No. 123)
Symmetry-distinct sites (fractional):
Na 0.0000 0.0000 0.0000  12 Tl 3.45
Li 0.0000 0.0000 0.5000  12 Tl 3.33-3.45
Tl 0.0000 0.5000 0.2587  8 Tl 3.33-3.45, 2 Li 3.33, 2 Na 3.45
Tl 0.5000 0.5000 0.0000  8 Tl 3.45, 4 Na 3.45
Tl 0.5000 0.5000 0.5000  8 Tl 3.33, 4 Li 3.45

Output
Density in g cm⁻³: 9.3
Crystal system: tetragonal
Formation energy from the elements in kcal/mol of atoms: -1.526

---

The following is a DFT calculation (PBE) of a relaxed HgRuSe2N crystal.

a = 5.1865 Å, b = 5.1865 Å, c = 3.6591 Å
α = 90.00°, β = 90.00°, γ = 90.00°
Closest atoms and distances in Å follow each position.
Space group P4/mmm (No. 123)
Symmetry-distinct sites (fractional):
Hg 0.0000 0.0000 0.0000  8 Se 3.17
Ru 0.5000 0.5000 0.5000  2 N 1.83
Se 0.0000 0.5000 0.5000  2 Ru 2.59
N 0.5000 0.5000 0.0000  2 Ru 1.83

Output
Raw formation energy in kJ/mol of atoms: 35.7
Density in g cm⁻³: 8.0
Crystal system: tetragonal

---

The following is a DFT calculation (PBE) of a relaxed RbP2Au2S7 crystal.

a = 6.3677 Å, b = 6.3677 Å, c = 32.8308 Å
α = 90.00°, β = 90.00°, γ = 120.00°
Closest atoms and distances in Å follow each position.
Space group R32 (No. 155, hexagonal axes)
Symmetry-distinct sites (fractional):
Rb 0.0000 0.0000 0.0000  6 S 3.42
P 0.0000 0.0000 0.4336  4 S 2.04-2.18
Au 0.0000 0.0000 0.2455  3 S 2.40
S 0.0000 0.0000 0.5000  2 P 2.18
S 0.0068 0.3796 0.2495  1 P 2.04

Output
Raw formation energy in kJ/mol of atoms: -14.5
Density in g cm⁻³: 3.3
Crystal system: trigonal